Entry 1:
! Pm3HgOs PBE-GGA relaxed; values from VASP
&SYSTEM
  ibrav = 0, nat = 10, ntyp = 3
/
ATOMIC_SPECIES
Pm 145.00 Pm.upf
Hg 200.59 Hg.upf
Os 190.23 Os.upf
ATOMIC_POSITIONS angstrom
Pm -0.422 4.210 -0.449
Pm 3.520 0.972 6.750
Pm -0.093 1.019 2.112
Pm 3.192 4.164 4.189
Pm 2.531 3.060 0.900
Pm 0.568 2.123 5.401
Hg 3.594 1.095 3.242
Hg -0.495 4.087 3.059
Os 0.795 1.330 -0.606
Os 2.385 3.989 -1.819
CELL_PARAMETERS angstrom
5.920 0.071 -1.213
-2.740 5.248 -1.212
-0.081 -0.136 8.726
! Formation energy from the elements: -0.270 eV/atom
! Raw total energy: -5.427 eV per atom
! Density of states at the Fermi level: 3.675 states/eV/f.u.

=====

Entry 2:
! Ce4In3Ga4 PBE-GGA relaxed; values from VASP
&SYSTEM
  ibrav = 0, nat = 11, ntyp = 3
/
ATOMIC_SPECIES
Ce 140.12 Ce.upf
In 114.82 In.upf
Ga 69.72 Ga.upf
ATOMIC_POSITIONS angstrom
Ce 5.152 2.449 0.503
Ce 2.612 -2.040 2.804
Ce 3.095 -4.759 3.285
Ce 5.634 -0.270 0.984
In 1.901 0.384 0.262
In 6.345 -2.694 3.526
In 0.743 -4.182 0.740
Ga 4.833 -3.356 1.304
Ga 3.413 1.046 2.484
Ga 0.931 -6.811 3.224
Ga -0.105 -0.975 2.192
CELL_PARAMETERS angstrom
-0.660 0.579 3.936
1.486 -8.365 1.480
7.420 5.475 -1.628
! Formation energy from the elements: -0.214 eV/atom
! Raw total energy: -4.220 eV per atom
! Density of states at the Fermi level: 19.994 states/eV/f.u.